# 1
Compound: Y2V2Rh
Source: the Alexandria database
Functional: PBE
Structure: relaxed

Calculated values
Space group: No. 127
E_form (kcal/mol of atoms): 0.92

a b c (Å): 6.4547 6.4547 4.8555
angles (deg): 90.00 90.00 90.00
Fractional positions:
Y 0.1752 0.3248 0.0000
Y 0.3248 0.8248 0.0000
Y 0.6752 0.1752 0.0000
Y 0.8248 0.6752 0.0000
V 0.1319 0.6319 0.5000
V 0.3681 0.1319 0.5000
V 0.6319 0.8681 0.5000
V 0.8681 0.3681 0.5000
Rh 0.0000 0.0000 0.5000
Rh 0.5000 0.5000 0.5000

# 2
Compound: Ce2PrGe6
Source: the Alexandria database
Functional: PBE
Structure: relaxed

Calculated values
Space group: No. 191
E_form (kcal/mol of atoms): -13.16

a b c (Å): 7.6010 7.6010 4.0988
angles (deg): 90.00 90.00 120.00
Fractional positions:
Ce 0.3333 0.6667 0.0000
Ce 0.6667 0.3333 0.0000
Pr 0.0000 0.0000 0.0000
Ge 0.0000 0.3346 0.5000
Ge 0.0000 0.6654 0.5000
Ge 0.3346 0.0000 0.5000
Ge 0.3346 0.3346 0.5000
Ge 0.6654 0.0000 0.5000
Ge 0.6654 0.6654 0.5000

# 3
Compound: NdNiPH
Source: the Alexandria database
Functional: PBE
Structure: relaxed

Calculated values
Space group: No. 129

a b c (Å): 3.9002 3.9002 7.6562
angles (deg): 90.00 90.00 90.00
Fractional positions:
Nd 0.2500 0.2500 0.1797
Nd 0.7500 0.7500 0.8203
Ni 0.2500 0.7500 0.5000
Ni 0.7500 0.2500 0.5000
P 0.2500 0.2500 0.6552
P 0.7500 0.7500 0.3448
H 0.2500 0.7500 0.0000
H 0.7500 0.2500 0.0000

# 4
Compound: SrPr2Pt
Source: the Alexandria database
Functional: PBE
Structure: relaxed

Calculated values
Space group: No. 160
E_form (kcal/mol of atoms): -11.63

a b c (Å): 10.0188 10.0188 10.0188
angles (deg): 24.83 24.83 24.83
Fractional positions:
Sr 0.0000 0.0000 0.0000
Pr 0.2206 0.2206 0.2206
Pr 0.4496 0.4496 0.4496
Pt 0.8352 0.8352 0.8352

# 5
Compound: CaPm2ErSb4
Source: the Alexandria database
Functional: PBE
Structure: relaxed

Calculated values
Space group: No. 10
ΔE_f (raw) (eV/atom): -1.04

a b c (Å): 7.7086 4.4500 7.7832
angles (deg): 90.00 109.31 90.00
Fractional positions:
Ca 0.0000 0.0000 0.0000
Pm 0.5000 0.0000 0.5000
Pm 0.5000 0.5000 0.0000
Er 0.0000 0.5000 0.5000
Sb 0.2438 0.0000 0.7433
Sb 0.2481 0.5000 0.2550
Sb 0.7519 0.5000 0.7450
Sb 0.7562 0.0000 0.2567

# 6
Compound: Pm12Nd5Tm
Source: the Alexandria database
Functional: PBE
Structure: relaxed

Calculated values
Space group: No. 12
E_form (kcal/mol of atoms): 1.84

a b c (Å): 10.6030 10.6030 5.8861
angles (deg): 90.04 90.04 110.89
Fractional positions:
Pm 0.0275 0.6679 0.5065
Pm 0.1678 0.5255 0.9937
Pm 0.2031 0.2031 0.0406
Pm 0.3015 0.3015 0.5392
Pm 0.3321 0.9725 0.4935
Pm 0.4745 0.8322 0.0063
Pm 0.5255 0.1678 0.9937
Pm 0.6679 0.0275 0.5065
Pm 0.6985 0.6985 0.4608
Pm 0.7969 0.7969 0.9594
Pm 0.8322 0.4745 0.0063
Pm 0.9725 0.3321 0.4935
Nd 0.0000 0.0000 0.5000
Nd 0.1376 0.8624 0.0000
Nd 0.3656 0.6344 0.5000
Nd 0.6344 0.3656 0.5000
Nd 0.8624 0.1376 0.0000
Tm 0.5000 0.5000 0.0000

# 7
Compound: Li2CrCo
Source: the Alexandria database
Functional: PBE
Structure: relaxed

Calculated values
Space group: No. 8
E_form (kcal/mol of atoms): 7.73

a b c (Å): 4.1651 4.1651 5.1811
angles (deg): 92.02 92.02 33.25
Fractional positions:
Li 0.0000 0.0000 0.0000
Li 0.2465 0.2465 0.7679
Cr 0.7521 0.7521 0.3074
Co 0.5053 0.5053 0.4722

# 8
Compound: BaFe2Pb
Source: the Alexandria database
Functional: PBE
Structure: relaxed

Calculated values
Space group: No. 12
E_form (kcal/mol of atoms): 21.21

a b c (Å): 5.7821 5.7821 3.2614
angles (deg): 102.57 102.57 108.00
Fractional positions:
Ba 0.0000 0.0000 0.0000
Fe 0.0000 0.5000 0.5000
Fe 0.5000 0.0000 0.5000
Pb 0.5000 0.5000 0.0000

# 9
Compound: La2USe2N2
Source: the Alexandria database
Functional: PBE
Structure: relaxed

Calculated values
Space group: No. 139
ΔE_f (raw) (eV/atom): -1.63

a b c (Å): 8.4875 8.4875 8.4875
angles (deg): 150.14 150.14 42.73
Fractional positions:
La 0.1230 0.1230 0.0000
La 0.8770 0.8770 0.0000
U 0.5000 0.5000 0.0000
Se 0.3193 0.3193 0.0000
Se 0.6807 0.6807 0.0000
N 0.0000 0.5000 0.5000
N 0.5000 0.0000 0.5000

# 10
Compound: BaBr2Cl
Source: the Alexandria database
Functional: PBE
Structure: relaxed

Calculated values
Space group: No. 8
ΔE_f (raw) (eV/atom): -1.58

a b c (Å): 5.7056 5.7056 6.4018
angles (deg): 105.28 105.28 48.71
Fractional positions:
Ba 0.0000 0.0000 0.0000
Br 0.3341 0.3341 0.6474
Br 0.5159 0.5159 0.3812
Cl 0.7027 0.7027 0.0245

# 11
Compound: BaMn2Mo
Source: the Alexandria database
Functional: PBE
Structure: relaxed

Calculated values
Space group: No. 141
E_form (kcal/mol of atoms): 27.42

a b c (Å): 8.6741 8.6741 8.6741
angles (deg): 147.38 147.38 46.80
Fractional positions:
Ba 0.3750 0.6250 0.7500
Ba 0.6250 0.3750 0.2500
Mn 0.0000 0.0000 0.0000
Mn 0.0000 0.0000 0.5000
Mn 0.0000 0.5000 0.0000
Mn 0.5000 0.0000 0.5000
Mo 0.1250 0.8750 0.2500
Mo 0.8750 0.1250 0.7500

# 12
Compound: Dy2Mg3Ag3
Source: the Alexandria database
Functional: PBE
Structure: relaxed

Calculated values
Space group: No. 160
E_form (kcal/mol of atoms): -5.53

a b c (Å): 8.6073 8.6073 8.6073
angles (deg): 33.82 33.82 33.82
Fractional positions:
Dy 0.0000 0.0000 0.0000
Dy 0.4891 0.4891 0.4891
Mg 0.2481 0.2481 0.2481
Mg 0.7422 0.7422 0.7422
Mg 0.8709 0.8709 0.8709
Ag 0.1268 0.1268 0.1268
Ag 0.3662 0.3662 0.3662
Ag 0.6150 0.6150 0.6150

| no. | total magnetization (μB/f.u.) | calculated volume (Å³ per cell) | total DFT energy (no corrections) (eV/f.u.) |
| --- | --- | --- | --- |
| 1 | 1.453 | 202.29 | -38.32 |
| 2 | 1.335 | 205.08 | -49.49 |
| 3 | 0.000 | 116.46 | -23.02 |
| 4 | 0.001 | 156.00 | -19.30 |
| 5 | 0.000 | 251.97 | -40.91 |
| 6 | 0.000 | 618.25 | -83.88 |
| 7 | 0.427 | 49.24 | -19.22 |
| 8 | 5.492 | 96.33 | -18.88 |
| 9 | 1.881 | 151.14 | -56.16 |
| 10 | 1.008 | 149.89 | -13.42 |
| 11 | 0.000 | 188.93 | -26.34 |
| 12 | 0.000 | 176.06 | -24.46 |